CrBiTeO6 | the Alexandria database | PBE+U | optimized geometry; raw total energy = -6.324 eV per atom; DOS at the Fermi energy = 0.0 states/eV/f.u.
1.0
-0.306 -3.478 3.926
4.612 2.217 -1.192
-1.912 7.440 6.442
Bi Te O Cr
2 2 12 2
Cartesian
-0.956 3.720 3.221
0.000 0.000 0.000
-0.101 4.000 7.052
2.494 2.179 2.125
-0.266 3.746 8.988
3.774 3.598 2.557
0.338 4.284 5.163
1.056 5.565 7.279
2.659 2.433 0.189
4.108 1.070 2.193
1.337 0.614 1.897
-1.715 5.109 6.983
-1.381 2.581 6.619
1.031 3.463 1.899
2.055 1.895 4.013
1.362 2.716 7.277
1.538 5.899 5.346
0.855 0.280 3.831